# 1
Tl2TcO6 | PBE-GGA | optimized geometry

Computed properties:
Relative energy among the computed polymorphs ... 0.000 eV/atom
V ... 278 Å³/cell
Magnetization ... 0.00 μB/atom

extended XYZ file:
```
18
Lattice="5.605 0.000 0.236 0.000 5.458 0.000 -0.383 0.000 9.078" Properties=species:S:1:pos:R:3 pbc="T T T"
Tl 5.301 2.728 7.433
Tl 2.532 5.456 6.539
Tl 2.690 0.001 2.776
Tl -0.079 2.730 1.882
Tc 2.803 2.729 0.118
Tc -0.191 0.000 4.539
O 4.649 4.364 3.363
O 4.532 4.359 6.114
O 4.011 3.723 9.262
O 3.822 0.995 4.710
O 3.301 1.630 7.858
O 3.567 1.635 1.530
O 0.573 1.094 5.951
O 0.690 1.099 3.200
O 1.211 1.734 0.053
O 1.400 4.463 4.605
O 1.921 3.828 1.457
O 1.655 3.823 7.784
```


# 2
MgSiOs | PBE-GGA | optimized geometry

Computed properties:
V ... 103 Å³/cell
E ... -37.771 eV for the cell shown
Magnetization ... 0.00 μB/atom

extended XYZ file:
```
6
Lattice="-0.521 -4.300 1.217 3.001 -0.346 -3.503 2.537 1.117 4.728" Properties=species:S:1:pos:R:3 pbc="T T T"
Mg 1.262 -0.769 1.811
Mg 3.756 -2.760 0.631
Si 0.914 -3.547 0.271
Si 4.104 0.018 2.171
Os 2.723 -0.271 4.072
Os 2.294 -3.259 -1.630
```


# 3
PmSmY6 | PBE-GGA | optimized geometry

Computed properties:
Relative energy among the computed polymorphs ... 0.000 eV/atom
Calculated formation energy ... 150 meV per atom
V ... 270 Å³/cell
Magnetization ... 0.00 μB/atom

extended XYZ file:
```
8
Lattice="9.683 -0.016 0.079 4.859 7.193 -0.260 4.815 2.131 3.819" Properties=species:S:1:pos:R:3 pbc="T T T"
Pm 0.000 0.000 0.000
Sm 9.678 4.654 1.819
Y 6.254 5.323 2.397
Y 15.939 8.653 3.009
Y 6.837 2.326 0.926
Y 3.417 0.655 0.629
Y 13.102 3.985 1.241
Y 12.520 6.982 2.712
```


# 4
KTiCrH | PBE-GGA | optimized geometry

Computed properties:
Relative energy among the computed polymorphs ... 0.053 eV/atom
V ... 124 Å³/cell
Magnetization ... 0.05 μB/atom

extended XYZ file:
```
8
Lattice="8.123 0.000 0.014 0.000 3.105 0.000 -0.496 0.000 4.930" Properties=species:S:1:pos:R:3 pbc="T T T"
K 1.035 0.000 0.149
K 0.787 1.553 2.613
Ti 5.390 0.000 4.884
Ti 5.638 1.553 2.419
Cr 3.811 0.000 2.208
Cr 3.563 1.553 4.673
H 2.897 0.000 3.798
H 3.145 1.553 1.333
```


# 5
AlMo2As | PBE-GGA | optimized geometry

Computed properties:
Relative energy among the computed polymorphs ... 0.263 eV/atom
Calculated formation energy ... 46 meV per atom
V ... 64 Å³/cell
Magnetization ... 0.00 μB/atom

extended XYZ file:
```
4
Lattice="8.497 0.007 0.004 7.976 2.929 0.004 7.976 1.421 2.561" Properties=species:S:1:pos:R:3 pbc="T T T"
Mo 0.114 0.020 0.012
Mo 12.111 2.158 1.272
As 18.337 3.268 1.927
Al 6.112 1.089 0.642
```


# 6
Cd2RuBr | PBE-GGA | optimized geometry

Computed properties:
Relative energy among the computed polymorphs ... 0.221 eV/atom
V ... 85 Å³/cell
Magnetization ... 0.30 μB/atom

extended XYZ file:
```
4
Lattice="-1.920 2.435 0.500 -0.681 -1.123 2.853 6.587 4.506 3.345" Properties=species:S:1:pos:R:3 pbc="T T T"
Ru 3.322 2.273 1.687
Br 3.205 3.738 3.965
Cd 0.139 0.095 0.071
Cd 0.614 1.965 2.649
```


# 7
SiPdI2O | PBE-GGA | optimized geometry

Computed properties:
Relative energy among the computed polymorphs ... 0.000 eV/atom
V ... 106 Å³/cell
Magnetization ... 0.00 μB/atom

extended XYZ file:
```
5
Lattice="5.539 0.000 0.000 0.000 5.539 0.000 0.000 0.000 3.440" Properties=species:S:1:pos:R:3 pbc="T T T"
I 0.000 2.770 0.000
I 2.770 0.000 0.000
Si 0.000 0.000 0.000
O 0.000 0.000 1.720
Pd 2.770 2.770 1.720
```


# 8
Mn2CdInAs | PBE-GGA | optimized geometry

Computed properties:
Calculated formation energy ... 886 meV per atom
V ... 101 Å³/cell
Magnetization ... 0.12 μB/atom

extended XYZ file:
```
5
Lattice="4.473 0.000 0.000 0.000 5.025 0.000 0.000 0.000 4.473" Properties=species:S:1:pos:R:3 pbc="T T T"
As 0.000 0.000 0.000
Cd 0.000 2.513 0.000
Mn 0.000 0.000 2.237
Mn 2.237 0.000 0.000
In 2.237 2.513 2.237
```


# 9
SrLi2PtN | PBE-GGA | optimized geometry

Computed properties:
V ... 81 Å³/cell
E ... -20.550 eV for the cell shown
Magnetization ... 0.12 μB/atom

extended XYZ file:
```
5
Lattice="4.351 0.000 0.000 0.000 4.267 0.000 0.000 0.000 4.351" Properties=species:S:1:pos:R:3 pbc="T T T"
Sr 2.176 2.133 2.176
Li 0.000 0.000 2.176
Li 2.176 0.000 0.000
Pt 0.000 2.133 0.000
N 0.000 0.000 0.000
```


# 10
Zr4AlIr | PBE-GGA | optimized geometry

Computed properties:
Relative energy among the computed polymorphs ... 0.734 eV/atom
Calculated formation energy ... 251 meV per atom
V ... 122 Å³/cell
Magnetization ... 0.00 μB/atom

extended XYZ file:
```
6
Lattice="-1.886 1.311 5.073 -2.130 5.056 0.959 -5.468 0.599 0.869" Properties=species:S:1:pos:R:3 pbc="T T T"
Zr -4.499 3.267 5.130
Zr -6.295 2.909 3.021
Zr -4.621 5.145 3.066
Zr -3.553 2.609 2.585
Al -7.113 5.224 5.176
Ir 0.000 0.000 0.000
```


# 11
AcGdAl4 | PBE-GGA | optimized geometry

Computed properties:
Calculated formation energy ... -409 meV per atom
V ... 135 Å³/cell
Magnetization ... 1.25 μB/atom

extended XYZ file:
```
6
Lattice="-4.486 -2.203 2.870 0.525 -5.046 2.734 0.063 -0.163 5.760" Properties=species:S:1:pos:R:3 pbc="T T T"
Ac -0.974 -1.853 2.841
Gd 0.000 0.000 0.000
Al -2.469 -4.553 4.218
Al -2.701 -2.104 5.736
Al -2.438 -4.635 7.107
Al -0.188 -3.530 5.668
```


# 12
BeRe2Ni | PBE-GGA | optimized geometry

Computed properties:
Calculated formation energy ... 82 meV per atom
V ... 51 Å³/cell
Magnetization ... 0.00 μB/atom

extended XYZ file:
```
4
Lattice="4.683 0.001 -0.006 1.858 4.299 0.006 -2.956 -2.629 2.507" Properties=species:S:1:pos:R:3 pbc="T T T"
Re 6.484 4.262 0.000
Re 3.329 2.188 0.000
Be 2.499 -0.239 1.250
Ni 1.086 1.910 1.257
```


# 13
Nd4Ag3Ge | PBE-GGA | optimized geometry

Computed properties:
Calculated formation energy ... -379 meV per atom
V ... 209 Å³/cell
Magnetization ... 0.12 μB/atom

extended XYZ file:
```
8
Lattice="5.051 0.000 1.491 2.306 4.494 1.491 0.030 0.019 9.199" Properties=species:S:1:pos:R:3 pbc="T T T"
Ge 0.000 0.000 0.000
Nd 6.476 3.957 5.964
Nd 2.765 1.689 9.236
Nd 0.911 0.556 6.216
Nd 4.622 2.824 2.945
Ag 1.796 1.097 3.219
Ag 5.592 3.416 8.962
Ag 3.694 2.256 6.090
```